1.
A plane-wave DFT calculation with PBE-GGA was carried out for a relaxed structure of Tb12Tl6In.

Lattice parameters (Å, degrees): 9.0581 9.0581 9.0581 109.47 109.47 109.47
With the nearest neighbours (Å) after each atom.
Fractional positions:
Tb 0.2754 0.0930 0.8176  1 Tl 2.99
Tb 0.2754 0.4579 0.1824  1 Tl 2.99
Tb 0.7246 0.5421 0.8176  1 Tl 2.99
Tb 0.7246 0.9070 0.1824  1 Tl 2.99
Tb 0.0930 0.8176 0.2754  1 Tl 2.99
Tb 0.4579 0.1824 0.2754  1 Tl 2.99
Tb 0.5421 0.8176 0.7246  1 Tl 2.99
Tb 0.9070 0.1824 0.7246  1 Tl 2.99
Tb 0.8176 0.2754 0.0930  1 Tl 2.99
Tb 0.1824 0.2754 0.4579  1 Tl 2.99
Tb 0.8176 0.7246 0.5421  1 Tl 2.99
Tb 0.1824 0.7246 0.9070  1 Tl 2.99
Tl 0.3597 0.5000 0.8597  1 Tl 2.93, 2 Tb 2.99
Tl 0.6403 0.5000 0.1403  1 Tl 2.93, 2 Tb 2.99
Tl 0.5000 0.8597 0.3597  1 Tl 2.93, 2 Tb 2.99
Tl 0.5000 0.1403 0.6403  1 Tl 2.93, 2 Tb 2.99
Tl 0.8597 0.3597 0.5000  1 Tl 2.93, 2 Tb 2.99
Tl 0.1403 0.6403 0.5000  1 Tl 2.93, 2 Tb 2.99
In 0.0000 0.0000 0.0000  12 Tb 3.46

Summary:
The value obtained for the total energy is -3.959 eV/atom. As for the density of states at the Fermi level: 1.23 states/eV/atom.



2.
A plane-wave DFT calculation with PBE-GGA was carried out for a relaxed structure of Sr3In4Cu2.

Lattice parameters (Å, degrees): 4.8111 6.3343 9.5106 70.75 75.35 67.68
With the nearest neighbours (Å) after each atom.
Fractional positions:
Sr 0.3192 0.7224 0.6392  4 Cu 3.32-3.65, 7 In 3.41-3.60
Sr 0.0000 0.0000 0.0000  8 In 3.29-3.54, 4 Cu 3.38
Sr 0.6808 0.2776 0.3608  4 Cu 3.32-3.65, 7 In 3.41-3.60
In 0.2622 0.3883 0.0872  1 Cu 2.80, 2 In 3.00
In 0.7378 0.6117 0.9128  1 Cu 2.80, 2 In 3.00
In 0.0232 0.3078 0.6459  2 Cu 2.77, 1 In 3.02
In 0.9768 0.6922 0.3541  2 Cu 2.77, 1 In 3.02
Cu 0.4059 0.9220 0.2662  3 In 2.77-2.80
Cu 0.5941 0.0780 0.7338  3 In 2.77-2.80

Summary:
The value obtained for the total energy is -2.996 eV/atom. As for the density of states at the Fermi level: 0.55 states/eV/atom.



3.
A plane-wave DFT calculation with PBE-GGA was carried out for a relaxed structure of Pm2Ga3Cu12Ni.

Lattice parameters (Å, degrees): 11.6770 11.6770 11.6770 26.79 26.79 26.79
With the nearest neighbours (Å) after each atom.
Fractional positions:
Pm 0.6435 0.6435 0.6435  12 Cu 2.95-3.30, 3 Ni 3.22
Pm 0.3565 0.3565 0.3565  12 Cu 2.95-3.30, 3 Ni 3.22
Ga 0.5000 0.0000 0.0000  4 Cu 2.49, 4 Ga 2.71
Ga 0.0000 0.5000 0.0000  4 Cu 2.49, 4 Ga 2.71
Ga 0.0000 0.0000 0.5000  4 Cu 2.49, 4 Ga 2.71
Cu 0.4025 0.4025 0.8620  4 Cu 2.45-2.49, 2 Ga 2.49
Cu 0.8964 0.8964 0.3800  4 Cu 2.45-2.62, 1 Ni 2.46
Cu 0.3800 0.8964 0.8964  4 Cu 2.45-2.62, 1 Ni 2.46
Cu 0.8620 0.4025 0.4025  4 Cu 2.45-2.49, 2 Ga 2.49
Cu 0.8964 0.3800 0.8964  4 Cu 2.45-2.62, 1 Ni 2.46
Cu 0.4025 0.8620 0.4025  4 Cu 2.45-2.49, 2 Ga 2.49
Cu 0.5975 0.5975 0.1380  4 Cu 2.45-2.49, 2 Ga 2.49
Cu 0.1036 0.1036 0.6200  4 Cu 2.45-2.62, 1 Ni 2.46
Cu 0.6200 0.1036 0.1036  4 Cu 2.45-2.62, 1 Ni 2.46
Cu 0.1380 0.5975 0.5975  4 Cu 2.45-2.49, 2 Ga 2.49
Cu 0.1036 0.6200 0.1036  4 Cu 2.45-2.62, 1 Ni 2.46
Cu 0.5975 0.1380 0.5975  4 Cu 2.45-2.49, 2 Ga 2.49
Ni 0.0000 0.0000 0.0000  6 Cu 2.46

Summary:
The value obtained for the total energy is -4.016 eV/atom. As for the density of states at the Fermi level: 0.45 states/eV/atom.



4.
A plane-wave DFT calculation with PBE-GGA was carried out for a relaxed structure of Hg2Ge2Te.

Lattice parameters (Å, degrees): 8.9196 8.9196 3.0890 90.00 90.00 90.00
With the nearest neighbours (Å) after each atom.
Fractional positions:
Ge 0.1064 0.6064 0.5000  1 Ge 2.68
Ge 0.6064 0.8936 0.5000  1 Ge 2.68
Ge 0.8936 0.3936 0.5000  1 Ge 2.68
Ge 0.3936 0.1064 0.5000  1 Ge 2.68
Te 0.0000 0.0000 0.0000  2 Te 3.09, 4 Hg 3.25
Te 0.5000 0.5000 0.0000  2 Te 3.09, 4 Hg 3.25
Hg 0.3119 0.8119 0.0000  6 Ge 3.02-3.13, 2 Hg 3.09, 2 Te 3.25
Hg 0.8119 0.6881 0.0000  6 Ge 3.02-3.13, 2 Hg 3.09, 2 Te 3.25
Hg 0.6881 0.1881 0.0000  6 Ge 3.02-3.13, 2 Hg 3.09, 2 Te 3.25
Hg 0.1881 0.3119 0.0000  6 Ge 3.02-3.13, 2 Hg 3.09, 2 Te 3.25

Summary:
The calculation puts the uncorrected formation energy at 1.44 eV per formula unit. As for the density of states at the Fermi level: 0.53 states/eV/atom.



5.
A plane-wave DFT calculation with PBE-GGA was carried out for a relaxed structure of Na2AgBr4.

Lattice parameters (Å, degrees): 4.3563 7.4264 7.6562 119.48 106.53 90.00
With the nearest neighbours (Å) after each atom.
Fractional positions:
Na 0.7146 0.7312 0.4291  6 Br 2.93-3.07
Na 0.2854 0.2688 0.5709  6 Br 2.93-3.07
Ag 0.0000 0.0000 0.0000  2 Br 2.58
Br 0.8934 0.1887 0.7867  1 Ag 2.58
Br 0.1066 0.8113 0.2133  1 Ag 2.58
Br 0.6396 0.2756 0.2792  2 Ag 2.97, 3 Na 2.97-3.07
Br 0.3604 0.7244 0.7208  2 Ag 2.97, 3 Na 2.97-3.07

Summary:
The calculation puts the uncorrected formation energy at -6.42 eV per formula unit. As for the density of states at the Fermi level: 0.85 states/eV/atom.



6.
A plane-wave DFT calculation with PBE-GGA was carried out for a relaxed structure of RbTh2ReN5.

Lattice parameters (Å, degrees): 7.0417 7.0417 7.6573 117.37 117.37 90.00
With the nearest neighbours (Å) after each atom.
Fractional positions:
Rb 0.2500 0.2500 0.5000  10 N 2.91-3.02
Rb 0.7500 0.7500 0.5000  10 N 2.91-3.02
Th 0.1858 0.3142 0.0000  4 N 2.41-2.57
Th 0.6858 0.1858 0.0000  4 N 2.41-2.57
Th 0.3142 0.8142 0.0000  4 N 2.41-2.57
Th 0.8142 0.6858 0.0000  4 N 2.41-2.57
Re 0.2500 0.7500 0.5000  4 N 1.86
Re 0.7500 0.2500 0.5000  4 N 1.86
N 0.0039 0.5039 0.2811  1 Re 1.86
N 0.7227 0.2227 0.7189  1 Re 1.86
N 0.9961 0.4961 0.7189  1 Re 1.86
N 0.2227 0.9961 0.7189  1 Re 1.86
N 0.4961 0.7227 0.7189  1 Re 1.86
N 0.7773 0.0039 0.2811  1 Re 1.86
N 0.5039 0.2773 0.2811  1 Re 1.86
N 0.2773 0.7773 0.2811  1 Re 1.86
N 0.5000 0.5000 0.0000  4 Th 2.57
N 0.0000 0.0000 0.0000  4 Th 2.57

Summary:
The calculation puts the uncorrected formation energy at -7.53 eV per formula unit. As for the density of states at the Fermi level: 0.26 states/eV/atom.



7.
A plane-wave DFT calculation with PBE-GGA was carried out for a relaxed structure of La2ThPaSb4.

Lattice parameters (Å, degrees): 4.5136 7.8217 7.8782 109.29 90.00 90.00
With the nearest neighbours (Å) after each atom.
Fractional positions:
La 0.5000 0.0000 0.5000  6 Sb 3.27-3.28
La 0.0000 0.5000 0.5000  6 Sb 3.23
Th 0.0000 0.0000 0.0000  6 Sb 3.18
Pa 0.5000 0.5000 0.0000  6 Sb 3.13
Sb 0.5000 0.2522 0.2404  1 Pa 3.13, 2 Th 3.18, 3 La 3.23-3.28
Sb 0.5000 0.7478 0.7596  1 Pa 3.13, 2 Th 3.18, 3 La 3.23-3.28
Sb 0.0000 0.2590 0.7624  2 Pa 3.13, 1 Th 3.18, 3 La 3.23-3.27
Sb 0.0000 0.7410 0.2376  2 Pa 3.13, 1 Th 3.18, 3 La 3.23-3.27

Summary:
The calculation puts the uncorrected formation energy at -7.79 eV per formula unit. As for the density of states at the Fermi level: 1.07 states/eV/atom.



8.
A plane-wave DFT calculation with PBE-GGA was carried out for a relaxed structure of U2SbTe2O2.

Lattice parameters (Å, degrees): 3.8572 3.8572 13.3652 90.00 90.00 120.00
With the nearest neighbours (Å) after each atom.
Fractional positions:
U 0.6667 0.3333 0.3877  4 O 2.31-2.38
U 0.3333 0.6667 0.6123  4 O 2.31-2.38
Sb 0.0000 0.0000 0.0000  2 Te 3.04
Te 0.0000 0.0000 0.2272  1 Sb 3.04, 3 U 3.09
Te 0.0000 0.0000 0.7728  1 Sb 3.04, 3 U 3.09
O 0.6667 0.3333 0.5656  4 U 2.31-2.38
O 0.3333 0.6667 0.4344  4 U 2.31-2.38

Summary:
The calculation puts the uncorrected formation energy at -10.86 eV per formula unit. As for the density of states at the Fermi level: 1.45 states/eV/atom.